[1]
Material: Pb3SeI
Method: DFT, PBE
State: optimized geometry

```
Pb3SeI
1.0
-0.8346 5.4767 1.8299
-5.5369 -1.2837 1.3168
1.6387 -1.5483 5.3812
Pb I Se
3 1 1
direct
0.0000 0.5000 0.0000 Pb
0.0000 0.0000 0.5000 Pb
0.5000 0.0000 0.0000 Pb
0.5000 0.5000 0.5000 I
0.0000 0.0000 0.0000 Se
```

## Properties
spin magnetization	0.000	μB/atom
DOS(E_F)	13.19	states/eV per cell
ΔE_f (raw)	140	meV per atom
distance to the lowest polymorph of the same formula	0.0	meV/atom
space group	No. 221
calculated volume	199	Å³/cell

[2]
Material: Li4Tl3
Method: DFT, PBE
State: optimized geometry

```
Li4Tl3
1.0
3.3774 0.0000 0.0000
0.0000 3.6539 0.0000
-1.6887 -1.8269 11.5261
Li Tl
4 3
direct
0.7158 0.2158 0.4316 Li
0.2842 0.7842 0.5684 Li
0.4265 0.9265 0.8530 Li
0.5735 0.0735 0.1470 Li
0.8501 0.3501 0.7002 Tl
0.0000 0.5000 0.0000 Tl
0.1499 0.6499 0.2998 Tl
```

## Properties
spin magnetization	0.000	μB/atom
DOS(E_F)	3.49	states/eV per cell
distance to the lowest polymorph of the same formula	0.0	meV/atom
space group	No. 71
calculated volume	142	Å³/cell

[3]
Material: KLaScPb2
Method: DFT, PBE
State: optimized geometry

```
KLaScPb2
1.0
5.5909 0.0000 0.0000
0.0000 5.4076 0.0000
0.0000 0.0000 5.5909
Pb Sc K La
2 1 1 1
direct
0.0000 0.0000 0.5000 Pb
0.5000 0.0000 0.0000 Pb
0.0000 0.0000 0.0000 Sc
0.0000 0.5000 0.0000 K
0.5000 0.5000 0.5000 La
```

## Properties
final energy	-18.66	eV/cell
spin magnetization	0.079	μB/atom
DOS(E_F)	5.87	states/eV per cell
space group	No. 123
calculated volume	169	Å³/cell

- The highest calculated volume belongs to which entry?
  Pb3SeI

Repeat the third record exactly.
Material: KLaScPb2
Method: DFT, PBE
State: optimized geometry

```
KLaScPb2
1.0
5.5909 0.0000 0.0000
0.0000 5.4076 0.0000
0.0000 0.0000 5.5909
Pb Sc K La
2 1 1 1
direct
0.0000 0.0000 0.5000 Pb
0.5000 0.0000 0.0000 Pb
0.0000 0.0000 0.0000 Sc
0.0000 0.5000 0.0000 K
0.5000 0.5000 0.5000 La
```

## Properties
final energy	-18.66	eV/cell
spin magnetization	0.079	μB/atom
DOS(E_F)	5.87	states/eV per cell
space group	No. 123
calculated volume	169	Å³/cell